ScInBRh2 | the Alexandria database | PBE | optimized geometry; VASP energy = -4.304 eV per atom; crystal system = tetragonal; DFT formation energy = 8.93 eV per formula unit
1.0
4.8306 0.0000 0.0000
0.0000 5.2551 0.0000
0.0000 0.0000 4.8306
Sc B Rh In
1 1 2 1
direct
0.0000 0.5000 0.0000 Sc
0.5000 0.5000 0.5000 B
0.0000 0.0000 0.5000 Rh
0.5000 0.0000 0.0000 Rh
0.0000 0.0000 0.0000 In